This record from the Alexandria database describes VHgP2O8 after structural relaxation. The functional is GGA+U.

Properties
The calculation puts the total magnetization at 0.5 μB per cell. Its total energy is -79.008 eV/cell. As for the calculated volume: 153.8 Å³ per cell.

Structure (POSCAR):
```
VHgP2O8
1.0
4.794 0.000 0.000
2.397 4.151 0.000
2.397 1.384 7.731
O P Hg V
8 2 1 1
Cartesian
5.743 4.323 6.596 O
3.844 1.212 1.135 O
1.524 0.216 1.135 O
7.766 2.812 6.596 O
7.190 4.151 4.517 O
8.063 5.319 6.596 O
1.822 2.723 1.135 O
2.397 1.384 3.214 O
7.190 4.151 6.058 P
2.397 1.384 1.672 P
4.794 2.768 3.865 Hg
0.000 0.000 0.000 V
```